Record 1
Here is a relaxed structure of TmTa2AlC4 from the Alexandria database. Energies are from PBE-GGA.

## Properties
E	-8.875	eV per atom
SG	Cmcm

a = 5.6856 Å, b = 5.6856 Å, c = 11.1142 Å
α = 90.00°, β = 90.00°, γ = 146.85°
Last column: nearest neighbours and their distance in Å.
Fractional coordinates of all 16 atoms:
Tm (0.1140, 0.8860, 0.7500)  6 C 2.43-2.59
Tm (0.8860, 0.1140, 0.2500)  6 C 2.43-2.59
Ta (0.3685, 0.6315, 0.5430)  5 C 2.08-2.30
Ta (0.3685, 0.6315, 0.9570)  5 C 2.08-2.30
Ta (0.6315, 0.3685, 0.0430)  5 C 2.08-2.30
Ta (0.6315, 0.3685, 0.4570)  5 C 2.08-2.30
Al (0.1497, 0.8503, 0.2500)  4 C 1.94-1.96
Al (0.8503, 0.1497, 0.7500)  4 C 1.94-1.96
C (0.0000, 0.0000, 0.0000)  4 Ta 2.22
C (0.0000, 0.0000, 0.5000)  4 Ta 2.22
C (0.2633, 0.7367, 0.1131)  1 Al 1.96, 1 Ta 2.08
C (0.2633, 0.7367, 0.3869)  1 Al 1.96, 1 Ta 2.08
C (0.4479, 0.5521, 0.7500)  2 Al 1.94
C (0.5521, 0.4479, 0.2500)  2 Al 1.94
C (0.7367, 0.2633, 0.6131)  1 Al 1.96, 1 Ta 2.08
C (0.7367, 0.2633, 0.8869)  1 Al 1.96, 1 Ta 2.08

Record 2
Here is a relaxed structure of UTa2AlC4 from the Alexandria database. Energies are from PBE-GGA.

## Properties
E	-9.690	eV per atom
SG	Cmcm

a = 5.6873 Å, b = 5.6873 Å, c = 11.1031 Å
α = 90.00°, β = 90.00°, γ = 147.00°
Last column: nearest neighbours and their distance in Å.
Fractional coordinates of all 16 atoms:
U (0.1163, 0.8837, 0.7500)  6 C 2.39-2.53
U (0.8837, 0.1163, 0.2500)  6 C 2.39-2.53
Ta (0.3697, 0.6303, 0.5411)  3 C 2.09-2.20
Ta (0.3697, 0.6303, 0.9589)  3 C 2.09-2.20
Ta (0.6303, 0.3697, 0.0411)  3 C 2.09-2.20
Ta (0.6303, 0.3697, 0.4589)  3 C 2.09-2.20
Al (0.1486, 0.8514, 0.2500)  4 C 1.95-1.97
Al (0.8514, 0.1486, 0.7500)  4 C 1.95-1.97
C (0.0000, 0.0000, 0.0000)  4 Ta 2.20
C (0.0000, 0.0000, 0.5000)  4 Ta 2.20
C (0.2662, 0.7338, 0.1175)  1 Al 1.95, 1 Ta 2.09
C (0.2662, 0.7338, 0.3825)  1 Al 1.95, 1 Ta 2.09
C (0.4549, 0.5451, 0.7500)  2 Al 1.97
C (0.5451, 0.4549, 0.2500)  2 Al 1.97
C (0.7338, 0.2662, 0.6175)  1 Al 1.95, 1 Ta 2.09
C (0.7338, 0.2662, 0.8825)  1 Al 1.95, 1 Ta 2.09

Record 3
Here is a relaxed structure of TaAlV2C from the Alexandria database. Energies are from PBE-GGA.

## Properties
E	-8.858	eV per atom
SG	P4/mmm

a = 3.9636 Å, b = 3.9636 Å, c = 4.3533 Å
α = 90.00°, β = 90.00°, γ = 90.00°
Last column: nearest neighbours and their distance in Å.
Fractional coordinates of all 5 atoms:
Ta (0.0000, 0.0000, 0.0000)  2 C 2.18
Al (0.5000, 0.5000, 0.0000)  4 Ta 2.80, 8 V 2.94
V (0.0000, 0.5000, 0.5000)  2 C 1.98
V (0.5000, 0.0000, 0.5000)  2 C 1.98
C (0.0000, 0.0000, 0.5000)  4 V 1.98, 2 Ta 2.18

Record 4
Here is a relaxed structure of ZrTa2AlC from the Alexandria database. Energies are from PBE-GGA.

## Properties
E	-6.120	eV per atom
SG	P4/mmm

a = 4.8818 Å, b = 4.8818 Å, c = 5.0524 Å
α = 90.00°, β = 90.00°, γ = 90.00°
Last column: nearest neighbours and their distance in Å.
Fractional coordinates of all 5 atoms:
Zr (0.0000, 0.0000, 0.0000)  4 Ta 2.44, 2 Al 2.53
Ta (0.0000, 0.5000, 0.0000)  2 Zr 2.44
Ta (0.5000, 0.0000, 0.0000)  2 Zr 2.44
Al (0.0000, 0.0000, 0.5000)  2 Zr 2.53
C (0.5000, 0.5000, 0.5000)  4 Al 3.45, 8 Ta 3.51

Record 5
Here is a relaxed structure of Tb2AlC2 from the Alexandria database. Energies are from PBE-GGA.

## Properties
E	-6.560	eV per atom
SG	C2/m

a = 6.1928 Å, b = 6.1928 Å, c = 6.8707 Å
α = 117.18°, β = 117.18°, γ = 49.17°
Last column: nearest neighbours and their distance in Å.
Fractional coordinates of all 10 atoms:
Tb (0.0348, 0.0348, 0.2692)  4 C 2.39-2.59
Tb (0.3277, 0.3277, 0.9096)  5 C 2.41-2.64
Tb (0.6723, 0.6723, 0.0904)  5 C 2.41-2.64
Tb (0.9652, 0.9652, 0.7308)  4 C 2.39-2.59
Al (0.3660, 0.3660, 0.3713)  3 C 2.01-2.11
Al (0.6340, 0.6340, 0.6287)  3 C 2.01-2.11
C (0.1761, 0.1761, 0.1016)  1 Al 2.01
C (0.4775, 0.4775, 0.7128)  2 Al 2.03-2.11
C (0.5225, 0.5225, 0.2872)  2 Al 2.03-2.11
C (0.8239, 0.8239, 0.8984)  1 Al 2.01

Record 6
Here is a relaxed structure of Tb4Al2C from the Alexandria database. Energies are from PBE-GGA.

## Properties
E	-5.273	eV per atom
SG	I4/mmm

a = 4.9456 Å, b = 4.9456 Å, c = 14.6004 Å
α = 90.00°, β = 90.00°, γ = 90.00°
Last column: nearest neighbours and their distance in Å.
Fractional coordinates of all 14 atoms:
Tb (0.0000, 0.0000, 0.1676)  1 C 2.45
Tb (0.0000, 0.0000, 0.8324)  1 C 2.45
Tb (0.0000, 0.5000, 0.0000)  2 C 2.47
Tb (0.0000, 0.5000, 0.5000)  2 C 2.47
Tb (0.5000, 0.0000, 0.0000)  2 C 2.47
Tb (0.5000, 0.0000, 0.5000)  2 C 2.47
Tb (0.5000, 0.5000, 0.3324)  1 C 2.45
Tb (0.5000, 0.5000, 0.6676)  1 C 2.45
Al (0.0000, 0.0000, 0.3756)  5 Tb 3.04-3.07
Al (0.0000, 0.0000, 0.6244)  5 Tb 3.04-3.07
Al (0.5000, 0.5000, 0.1244)  5 Tb 3.04-3.07
Al (0.5000, 0.5000, 0.8756)  5 Tb 3.04-3.07
C (0.0000, 0.0000, 0.0000)  6 Tb 2.45-2.47
C (0.5000, 0.5000, 0.5000)  6 Tb 2.45-2.47

Record 7
Here is a relaxed structure of Tb3Al2Tc3C from the Alexandria database. Energies are from PBE-GGA.

## Properties
E	-6.851	eV per atom
SG	P-62m

a = 7.3690 Å, b = 7.3690 Å, c = 3.4509 Å
α = 90.00°, β = 90.00°, γ = 120.00°
Last column: nearest neighbours and their distance in Å.
Fractional coordinates of all 9 atoms:
Tb (0.0000, 0.6434, 0.0000)  1 C 2.63, 4 Tc 2.88, 4 Al 2.94
Tb (0.3566, 0.3566, 0.0000)  1 C 2.63, 4 Tc 2.88, 4 Al 2.94
Tb (0.6434, 0.0000, 0.0000)  1 C 2.63, 4 Tc 2.88, 4 Al 2.94
Al (0.3333, 0.6667, 0.5000)  6 Tb 2.94, 3 Tc 2.94
Al (0.6667, 0.3333, 0.5000)  6 Tb 2.94, 3 Tc 2.94
Tc (0.0000, 0.2245, 0.5000)  2 C 2.39
Tc (0.2245, 0.0000, 0.5000)  2 C 2.39
Tc (0.7755, 0.7755, 0.5000)  2 C 2.39
C (0.0000, 0.0000, 0.0000)  6 Tc 2.39, 3 Tb 2.63

Record 8
Here is a relaxed structure of TbAl2Tc2C from the Alexandria database. Energies are from PBE-GGA.

## Properties
E	-7.380	eV per atom
SG	P4/mmm

a = 4.1792 Å, b = 4.1792 Å, c = 5.5158 Å
α = 90.00°, β = 90.00°, γ = 90.00°
Last column: nearest neighbours and their distance in Å.
Fractional coordinates of all 6 atoms:
Tb (0.0000, 0.0000, 0.0000)  2 C 2.76
Al (0.5000, 0.5000, 0.2305)  1 Al 2.54, 4 Tc 2.56
Al (0.5000, 0.5000, 0.7695)  1 Al 2.54, 4 Tc 2.56
Tc (0.0000, 0.5000, 0.5000)  2 C 2.09
Tc (0.5000, 0.0000, 0.5000)  2 C 2.09
C (0.0000, 0.0000, 0.5000)  4 Tc 2.09

Repeat the third record exactly.
Here is a relaxed structure of TaAlV2C from the Alexandria database. Energies are from PBE-GGA.

## Properties
E	-8.858	eV per atom
SG	P4/mmm

a = 3.9636 Å, b = 3.9636 Å, c = 4.3533 Å
α = 90.00°, β = 90.00°, γ = 90.00°
Last column: nearest neighbours and their distance in Å.
Fractional coordinates of all 5 atoms:
Ta (0.0000, 0.0000, 0.0000)  2 C 2.18
Al (0.5000, 0.5000, 0.0000)  4 Ta 2.80, 8 V 2.94
V (0.0000, 0.5000, 0.5000)  2 C 1.98
V (0.5000, 0.0000, 0.5000)  2 C 1.98
C (0.0000, 0.0000, 0.5000)  4 V 1.98, 2 Ta 2.18